Compound: CdReN2
Source: the Alexandria database
Functional: SCAN
Structure: single point on PBEsol structure Values from VASP.

Results
Total energy ... -118.93 eV for the cell shown
Space group ... R-3m
N(E_F) ... 2.3 states/eV/cell
E_form (uncorrected) ... 292 meV/atom
M_tot ... 0.0 μB/cell

Quantum ESPRESSO input file:
```
&SYSTEM
  ibrav = 0, nat = 4, ntyp = 3
/
ATOMIC_SPECIES
Cd 112.41 Cd.upf
Re 186.21 Re.upf
N 14.01 N.upf
CELL_PARAMETERS angstrom
1.4546 0.8398 6.8624
-1.4546 0.8398 6.8624
0.0000 -1.6796 6.8624
ATOMIC_POSITIONS angstrom
Cd 0.0000 0.0000 0.0000
Re 0.0000 0.0000 10.2936
N 0.0000 0.0000 2.2404
N 0.0000 0.0000 18.3468
```

=====

Compound: Sr3CaRh
Source: the Alexandria database
Functional: SCAN
Structure: single point on PBEsol structure Values from VASP.

Results
Total energy ... -222.61 eV for the cell shown
Space group ... C2/m
Calculated formation energy ... -209 meV per atom
N(E_F) ... 5.2 states/eV/cell
Polymorph energy (0 for the lowest one) ... 0 meV per atom
M_tot ... 0.1 μB/cell

Quantum ESPRESSO input file:
```
&SYSTEM
  ibrav = 0, nat = 10, ntyp = 3
/
ATOMIC_SPECIES
Sr 87.62 Sr.upf
Ca 40.08 Ca.upf
Rh 102.91 Rh.upf
CELL_PARAMETERS angstrom
6.2870 -4.7438 0.0000
6.2870 4.7438 0.0000
-5.8791 0.0000 6.3231
ATOMIC_POSITIONS angstrom
Sr -1.4297 0.0000 2.2319
Sr 2.0098 1.8922 1.2850
Sr 2.0098 -1.8922 1.2850
Sr 4.6850 1.8922 5.0381
Sr 4.6850 -1.8922 5.0381
Sr 8.1245 0.0000 4.0911
Ca 1.1690 0.0000 4.8548
Ca 5.5258 0.0000 1.4682
Rh -1.9050 0.0000 5.5065
Rh 8.5998 0.0000 0.8166
```

=====

Compound: CoAg2SnB
Source: the Alexandria database
Functional: SCAN
Structure: single point on PBEsol structure Values from VASP.

Results
Total energy ... -115.81 eV for the cell shown
Space group ... P4/mmm
Calculated formation energy ... 1516 meV per atom
N(E_F) ... 1.5 states/eV/cell
M_tot ... 2.0 μB/cell

Quantum ESPRESSO input file:
```
&SYSTEM
  ibrav = 0, nat = 5, ntyp = 4
/
ATOMIC_SPECIES
Co 58.93 Co.upf
Ag 107.87 Ag.upf
Sn 118.71 Sn.upf
B 10.81 B.upf
CELL_PARAMETERS angstrom
5.1208 0.0000 0.0000
0.0000 5.1208 0.0000
0.0000 0.0000 4.1106
ATOMIC_POSITIONS angstrom
Co 0.0000 0.0000 0.0000
Ag 0.0000 2.5604 2.0553
Ag 2.5604 0.0000 2.0553
Sn 2.5604 2.5604 2.0553
B 2.5604 2.5604 0.0000
```

=====

Compound: Sb5Pb
Source: the Alexandria database
Functional: SCAN
Structure: single point on PBEsol structure Values from VASP.

Results
Total energy ... -260.84 eV for the cell shown
Space group ... P4/mmm
N(E_F) ... 3.8 states/eV/cell
E_form (uncorrected) ... 207 meV/atom
M_tot ... 0.0 μB/cell

Quantum ESPRESSO input file:
```
&SYSTEM
  ibrav = 0, nat = 6, ntyp = 2
/
ATOMIC_SPECIES
Sb 121.76 Sb.upf
Pb 207.20 Pb.upf
CELL_PARAMETERS angstrom
3.7887 0.0000 0.0000
0.0000 3.7887 0.0000
0.0000 0.0000 11.2442
ATOMIC_POSITIONS angstrom
Sb 0.0000 0.0000 0.0000
Sb 0.0000 0.0000 3.5472
Sb 0.0000 0.0000 7.6970
Sb 1.8944 1.8944 1.8910
Sb 1.8944 1.8944 9.3532
Pb 1.8944 1.8944 5.6221
```

=====

Compound: In2HgSe
Source: the Alexandria database
Functional: SCAN
Structure: single point on PBEsol structure Values from VASP.

Results
Total energy ... -156.14 eV for the cell shown
Space group ... R-3m
N(E_F) ... 1.1 states/eV/cell
E_form (uncorrected) ... -282 meV/atom
Polymorph energy (0 for the lowest one) ... 0 meV per atom
M_tot ... 0.0 μB/cell

Quantum ESPRESSO input file:
```
&SYSTEM
  ibrav = 0, nat = 4, ntyp = 3
/
ATOMIC_SPECIES
In 114.82 In.upf
Hg 200.59 Hg.upf
Se 78.96 Se.upf
CELL_PARAMETERS angstrom
1.9660 1.1350 7.4415
-1.9660 1.1350 7.4415
0.0000 -2.2701 7.4415
ATOMIC_POSITIONS angstrom
In 0.0000 0.0000 5.5074
In 0.0000 0.0000 16.8172
Hg 0.0000 0.0000 0.0000
Se 0.0000 0.0000 11.1623
```

=====

Compound: NaTl2CuBi
Source: the Alexandria database
Functional: SCAN
Structure: single point on PBEsol structure Values from VASP.

Results
Total energy ... -242.43 eV for the cell shown
Space group ... P4/mmm
Calculated formation energy ... 55 meV per atom
N(E_F) ... 1.8 states/eV/cell
M_tot ... 0.0 μB/cell

Quantum ESPRESSO input file:
```
&SYSTEM
  ibrav = 0, nat = 5, ntyp = 4
/
ATOMIC_SPECIES
Na 22.99 Na.upf
Tl 204.38 Tl.upf
Cu 63.55 Cu.upf
Bi 208.98 Bi.upf
CELL_PARAMETERS angstrom
5.1188 0.0000 0.0000
0.0000 5.1188 0.0000
0.0000 0.0000 5.4157
ATOMIC_POSITIONS angstrom
Na 0.0000 0.0000 0.0000
Tl 0.0000 2.5594 2.7079
Tl 2.5594 0.0000 2.7079
Cu 2.5594 2.5594 2.7079
Bi 2.5594 2.5594 0.0000
```